# 1
# La2DyEr3

A relaxed structure of La2DyEr3 (GGA-PBE, Alexandria via LeMat-Bulk).

a b c (Å): 6.6953 7.9168 7.9168
angles (deg): 73.58 90.00 90.00
Element x y z (fractional)
La 0.5767 0.4288 0.7554
La 0.0767 0.2446 0.5712
La 0.0767 0.5712 0.2446
La 0.5767 0.7554 0.4288
Er 0.0763 0.4989 0.8516
Er 0.8308 0.1380 0.1380
Er 0.5763 0.5011 0.1484
Er 0.5763 0.1484 0.5011
Er 0.3308 0.8620 0.8620
Er 0.0763 0.8516 0.4989
Dy 0.8211 0.8626 0.8626
Dy 0.3211 0.1374 0.1374

Properties
ΔH_f (0 K): 1.21 eV per formula unit
space group: Cmc2_1

# 2
# Li3Al

A relaxed structure of Li3Al (GGA-PBE, Alexandria via LeMat-Bulk).

a b c (Å): 5.6934 5.0185 9.5151
angles (deg): 90.00 90.00 90.00
Element x y z (fractional)
Al 0.8687 0.4225 0.7500
Al 0.1313 0.5775 0.2500
Al 0.3687 0.0775 0.2500
Al 0.6313 0.9225 0.7500
Li 0.3718 0.4407 0.7500
Li 0.3811 0.7625 0.0095
Li 0.8811 0.7375 0.9905
Li 0.8811 0.7375 0.5095
Li 0.1189 0.2625 0.0095
Li 0.6282 0.5593 0.2500
Li 0.3811 0.7625 0.4905
Li 0.6189 0.2375 0.9905
Li 0.1189 0.2625 0.4905
Li 0.1282 0.9407 0.7500
Li 0.8718 0.0593 0.2500
Li 0.6189 0.2375 0.5095

Properties
ΔH_f (0 K): -0.38 eV per formula unit
space group: Pnma

no.,Fermi-level density of states (states/eV/f.u.)
1,10.279
2,0.744